Entry 1:
# FeSiCl2 PBE optimized geometry
data_FeSiCl2
_chemical_formula_sum 'Fe2 Si2 Cl4'
_space_group_name_H-M_alt 'I m m m'
_space_group_IT_number 71
_space_group_name_Hall '-I 2 2'
_cell_length_a 3.2945
_cell_length_b 3.5099
_cell_length_c 15.0154
_cell_angle_alpha 90.00
_cell_angle_beta 90.00
_cell_angle_gamma 90.00
loop_
_atom_site_label
_atom_site_type_symbol
_atom_site_fract_x
_atom_site_fract_y
_atom_site_fract_z
Fe1 Fe 0.0000 0.0000 0.0000
Si1 Si 0.0000 0.0000 0.5000
Cl1 Cl 0.0000 0.5000 0.1347
# volume	173.6	Å³ per cell
# theoretical density	3.0	g/cm3
# energy above the most stable polymorph in this dataset	226	meV/atom
# E_form (uncorrected)	-41.6	kJ/mol of formula units
# energy	-18.010	eV/f.u.

Entry 2:
# FeSiCl2 PBE optimized geometry
data_FeSiCl2
_chemical_formula_sum 'Fe1 Si1 Cl2'
_space_group_name_H-M_alt 'P m m m'
_space_group_IT_number 47
_cell_length_a 3.0441
_cell_length_b 4.2198
_cell_length_c 5.6621
_cell_angle_alpha 90.00
_cell_angle_beta 90.00
_cell_angle_gamma 90.00
loop_
_space_group_symop_operation_xyz
'x,y,z'
'-x,-y,-z'
'-x,-y,z'
'x,y,-z'
'x,-y,-z'
'-x,y,z'
'-x,y,-z'
'x,-y,z'
loop_
_atom_site_label
_atom_site_type_symbol
_atom_site_fract_x
_atom_site_fract_y
_atom_site_fract_z
Fe1 Fe 0.0000 0.0000 0.0000
Si1 Si 0.5000 0.0000 0.5000
Cl1 Cl 0.0000 0.5000 0.5000
Cl2 Cl 0.5000 0.5000 0.0000
# volume	72.7	Å³ per cell
# theoretical density	3.5	g/cm3
# energy above the most stable polymorph in this dataset	660	meV/atom
# E_form (uncorrected)	125.9	kJ/mol of formula units
# energy	-16.274	eV/f.u.

Entry 3:
# FeSiCl PBE optimized geometry
data_FeSiCl
_chemical_formula_sum 'Fe1 Si1 Cl1'
_space_group_name_H-M_alt 'P 3 m 1'
_space_group_IT_number 156
_cell_length_a 3.2506
_cell_length_b 3.2506
_cell_length_c 5.4286
_cell_angle_alpha 90.00
_cell_angle_beta 90.00
_cell_angle_gamma 120.00
loop_
_space_group_symop_operation_xyz
'x,y,z'
'-y,x-y,z'
'-x+y,-x,z'
'-y,-x,z'
'-x+y,y,z'
'x,x-y,z'
loop_
_atom_site_label
_atom_site_type_symbol
_atom_site_fract_x
_atom_site_fract_y
_atom_site_fract_z
Fe1 Fe 0.0000 0.0000 0.0000
Si1 Si 0.6667 0.3333 0.2503
Cl1 Cl 0.3333 0.6667 0.7003
# volume	49.7	Å³ per cell
# theoretical density	4.0	g/cm3
# energy above the most stable polymorph in this dataset	462	meV/atom
# E_form (uncorrected)	31.8	kJ/mol of formula units
# energy	-15.403	eV/f.u.

Number 3 is which compound?
FeSiCl

Look up the theoretical density of the first one.
3.0 g/cm3

Please write out number 3 again, unchanged.
# FeSiCl PBE optimized geometry
data_FeSiCl
_chemical_formula_sum 'Fe1 Si1 Cl1'
_space_group_name_H-M_alt 'P 3 m 1'
_space_group_IT_number 156
_cell_length_a 3.2506
_cell_length_b 3.2506
_cell_length_c 5.4286
_cell_angle_alpha 90.00
_cell_angle_beta 90.00
_cell_angle_gamma 120.00
loop_
_space_group_symop_operation_xyz
'x,y,z'
'-y,x-y,z'
'-x+y,-x,z'
'-y,-x,z'
'-x+y,y,z'
'x,x-y,z'
loop_
_atom_site_label
_atom_site_type_symbol
_atom_site_fract_x
_atom_site_fract_y
_atom_site_fract_z
Fe1 Fe 0.0000 0.0000 0.0000
Si1 Si 0.6667 0.3333 0.2503
Cl1 Cl 0.3333 0.6667 0.7003
# volume	49.7	Å³ per cell
# theoretical density	4.0	g/cm3
# energy above the most stable polymorph in this dataset	462	meV/atom
# E_form (uncorrected)	31.8	kJ/mol of formula units
# energy	-15.403	eV/f.u.